#one
5
Lattice="4.605 0.000 0.000 0.000 4.605 0.000 0.000 0.000 6.263" Properties=species:S:1:pos:R:3 comment="SrCuAs2Br GGA-PBE optimized geometry" n_ef_per_ev_fu=5.71 space_group="P4/mmm, No. 123" pbc="T T T"
Sr 0.000 0.000 0.000
Cu 2.302 2.302 3.132
As 0.000 2.302 3.132
As 2.302 0.000 3.132
Br 2.302 2.302 0.000

#two
5
Lattice="5.941 0.000 0.000 0.000 5.941 0.000 0.000 0.000 5.732" Properties=species:S:1:pos:R:3 comment="SrCuAs2Br GGA-PBE optimized geometry" n_ef_per_ev_fu=3.18 space_group="P4/mmm, No. 123" pbc="T T T"
Sr 0.000 0.000 0.000
Cu 2.970 2.970 2.866
As 0.000 2.970 0.000
As 2.970 0.000 0.000
Br 0.000 0.000 2.866

Which one sits at the bottom of the stability order? #two does.

#one
5
Lattice="4.597 0.000 0.000 0.000 4.597 0.000 0.000 0.000 5.003" Properties=species:S:1:pos:R:3 comment="CuAs2WBr GGA-PBE optimized geometry" n_ef_per_ev_fu=2.53 space_group="P4/mmm, No. 123" pbc="T T T"
Cu 0.000 0.000 0.000
As 0.000 2.298 0.000
As 2.298 0.000 0.000
W 2.298 2.298 2.502
Br 0.000 0.000 2.502

#two
5
Lattice="4.852 0.000 0.000 0.000 4.852 0.000 0.000 0.000 5.271" Properties=species:S:1:pos:R:3 comment="CuAs2WBr GGA-PBE optimized geometry" n_ef_per_ev_fu=3.29 space_group="P4/mmm, No. 123" pbc="T T T"
Cu 0.000 0.000 0.000
As 0.000 2.426 2.636
As 2.426 0.000 2.636
W 2.426 2.426 2.636
Br 2.426 2.426 0.000

Which one sits at the bottom of the stability order? #one does.

#one
5
Lattice="5.452 0.000 0.000 0.000 5.452 0.000 0.000 0.000 5.864" Properties=species:S:1:pos:R:3 comment="YCuAsBr2 GGA-PBE optimized geometry" n_ef_per_ev_fu=2.04 space_group="P4/mmm, No. 123" pbc="T T T"
Y 0.000 0.000 0.000
Cu 2.726 2.726 2.932
As 0.000 0.000 2.932
Br 0.000 2.726 0.000
Br 2.726 0.000 0.000

#two
5
Lattice="4.814 0.000 0.000 0.000 4.814 0.000 0.000 0.000 5.200" Properties=species:S:1:pos:R:3 comment="YCuAsBr2 GGA-PBE optimized geometry" n_ef_per_ev_fu=3.28 space_group="P4/mmm, No. 123" pbc="T T T"
Y 0.000 0.000 0.000
Cu 2.407 2.407 2.600
As 2.407 2.407 0.000
Br 0.000 2.407 2.600
Br 2.407 0.000 2.600

Which one sits at the bottom of the stability order? #one does.

#one
5
Lattice="4.784 0.000 0.000 0.000 4.784 0.000 0.000 0.000 5.391" Properties=species:S:1:pos:R:3 comment="ZnCuAs2Br GGA-PBE optimized geometry" n_ef_per_ev_fu=4.40 space_group="P4/mmm, No. 123" pbc="T T T"
Zn 0.000 0.000 0.000
Cu 2.392 2.392 2.696
As 0.000 2.392 0.000
As 2.392 0.000 0.000
Br 0.000 0.000 2.696

#two
5
Lattice="4.736 0.000 0.000 0.000 4.736 0.000 0.000 0.000 5.163" Properties=species:S:1:pos:R:3 comment="ZnCuAs2Br GGA-PBE optimized geometry" n_ef_per_ev_fu=3.88 space_group="P4/mmm, No. 123" pbc="T T T"
Zn 0.000 0.000 0.000
Cu 2.368 2.368 2.581
As 0.000 2.368 2.581
As 2.368 0.000 2.581
Br 2.368 2.368 0.000

Which one sits at the bottom of the stability order? #one does.

#one
5
Lattice="5.247 0.000 0.000 0.000 5.247 0.000 0.000 0.000 4.916" Properties=species:S:1:pos:R:3 comment="ZnCuAsBr2 GGA-PBE optimized geometry" n_ef_per_ev_fu=3.61 space_group="P4/mmm, No. 123" pbc="T T T"
Zn 0.000 0.000 0.000
Cu 2.624 2.624 2.458
As 0.000 0.000 2.458
Br 0.000 2.624 0.000
Br 2.624 0.000 0.000

#two
5
Lattice="5.059 0.000 0.000 0.000 5.059 0.000 0.000 0.000 4.874" Properties=species:S:1:pos:R:3 comment="ZnCuAsBr2 GGA-PBE optimized geometry" n_ef_per_ev_fu=3.44 space_group="P4/mmm, No. 123" pbc="T T T"
Zn 0.000 0.000 0.000
Cu 2.529 2.529 2.437
As 2.529 2.529 0.000
Br 0.000 2.529 2.437
Br 2.529 0.000 2.437

Which one sits at the bottom of the stability order? #one does.

#one
5
Lattice="4.778 0.000 0.000 0.000 4.778 0.000 0.000 0.000 5.049" Properties=species:S:1:pos:R:3 comment="ZrCuAsBr2 GGA-PBE optimized geometry" n_ef_per_ev_fu=4.74 space_group="P4/mmm, No. 123" pbc="T T T"
Zr 0.000 0.000 0.000
Cu 2.389 2.389 2.525
As 2.389 2.389 0.000
Br 0.000 2.389 2.525
Br 2.389 0.000 2.525

#two
5
Lattice="5.254 0.000 0.000 0.000 5.254 0.000 0.000 0.000 5.366" Properties=species:S:1:pos:R:3 comment="ZrCuAsBr2 GGA-PBE optimized geometry" n_ef_per_ev_fu=1.29 space_group="P4/mmm, No. 123" pbc="T T T"
Zr 0.000 0.000 0.000
Cu 2.627 2.627 2.683
As 0.000 0.000 2.683
Br 0.000 2.627 0.000
Br 2.627 0.000 0.000

Which one sits at the bottom of the stability order? #one does.

#one
5
Lattice="4.672 0.000 0.000 0.000 4.672 0.000 0.000 0.000 4.919" Properties=species:S:1:pos:R:3 comment="ZrCuAs2Br GGA-PBE optimized geometry" n_ef_per_ev_fu=2.87 space_group="P4/mmm, No. 123" pbc="T T T"
Zr 0.000 0.000 0.000
Cu 2.336 2.336 2.460
As 0.000 2.336 2.460
As 2.336 0.000 2.460
Br 2.336 2.336 0.000

#two
5
Lattice="5.229 0.000 0.000 0.000 5.229 0.000 0.000 0.000 5.291" Properties=species:S:1:pos:R:3 comment="ZrCuAs2Br GGA-PBE optimized geometry" n_ef_per_ev_fu=5.21 space_group="P4/mmm, No. 123" pbc="T T T"
Zr 0.000 0.000 0.000
Cu 2.614 2.614 2.645
As 0.000 2.614 0.000
As 2.614 0.000 0.000
Br 0.000 0.000 2.645

Which one sits at the bottom of the stability order? #one does.

#one
5
Lattice="-2.097 2.097 5.011 2.097 -2.097 5.011 2.097 2.097 -5.011" Properties=species:S:1:pos:R:3 comment="As2BrF2 GGA-PBE optimized geometry" n_ef_per_ev_fu=3.07 space_group="I4/mmm, No. 139" pbc="T T T"
As 0.000 0.000 1.248
As 0.000 0.000 8.774
Br 0.000 0.000 5.011
F 2.097 0.000 2.506
F 0.000 2.097 2.506

#two
10
Lattice="9.718 0.000 0.000 0.000 9.718 0.000 0.000 0.000 2.539" Properties=species:S:1:pos:R:3 comment="As2BrF2 GGA-PBE optimized geometry" n_ef_per_ev_fu=1.47 space_group="P4/mbm, No. 127" pbc="T T T"
As 1.993 2.866 0.000
As 2.866 7.725 0.000
As 6.852 1.993 0.000
As 7.725 6.852 0.000
Br 0.000 0.000 1.269
Br 4.859 4.859 1.269
F 1.680 6.539 1.269
F 3.180 1.680 1.269
F 6.539 8.039 1.269
F 8.039 3.180 1.269

Which one sits at the bottom of the stability order? #two does.

#one
5
Lattice="5.103 0.000 0.000 0.000 5.103 0.000 0.000 0.000 5.281" Properties=species:S:1:pos:R:3 comment="GeAs2BrF GGA-PBE optimized geometry" n_ef_per_ev_fu=4.26 space_group="P4/mmm, No. 123" pbc="T T T"
Ge 0.000 0.000 0.000
As 0.000 2.552 2.641
As 2.552 0.000 2.641
Br 0.000 0.000 2.641
F 2.552 2.552 0.000

#two
5
Lattice="4.334 0.000 0.000 0.000 4.334 0.000 0.000 0.000 5.855" Properties=species:S:1:pos:R:3 comment="GeAs2BrF GGA-PBE optimized geometry" n_ef_per_ev_fu=3.02 space_group="P4/mmm, No. 123" pbc="T T T"
Ge 0.000 0.000 0.000
As 0.000 2.167 2.928
As 2.167 0.000 2.928
Br 2.167 2.167 0.000
F 2.167 2.167 2.928

#three
5
Lattice="5.025 0.000 0.000 0.000 5.025 0.000 0.000 0.000 5.151" Properties=species:S:1:pos:R:3 comment="GeAs2BrF GGA-PBE optimized geometry" n_ef_per_ev_fu=5.05 space_group="P4/mmm, No. 123" pbc="T T T"
Ge 0.000 0.000 0.000
As 0.000 2.513 0.000
As 2.513 0.000 0.000
Br 0.000 0.000 2.576
F 2.513 2.513 2.576

Which one sits at the bottom of the stability order? #one does.

#one
5
Lattice="5.565 0.000 0.000 0.000 5.565 0.000 0.000 0.000 3.896" Properties=species:S:1:pos:R:3 comment="GeAsBr2F GGA-PBE optimized geometry" n_ef_per_ev_fu=3.03 space_group="P4/mmm, No. 123" pbc="T T T"
Ge 0.000 0.000 0.000
As 2.782 2.782 0.000
Br 0.000 2.782 1.948
Br 2.782 0.000 1.948
F 2.782 2.782 1.948

#two
5
Lattice="5.127 0.000 0.000 0.000 5.127 0.000 0.000 0.000 5.240" Properties=species:S:1:pos:R:3 comment="GeAsBr2F GGA-PBE optimized geometry" n_ef_per_ev_fu=5.71 space_group="P4/mmm, No. 123" pbc="T T T"
Ge 0.000 0.000 0.000
As 0.000 0.000 2.620
Br 0.000 2.563 0.000
Br 2.563 0.000 0.000
F 2.563 2.563 2.620

Which one sits at the bottom of the stability order? #two does.

#one
5
Lattice="5.174 0.000 0.000 0.000 5.174 0.000 0.000 0.000 5.157" Properties=species:S:1:pos:R:3 comment="HfAs2BrF GGA-PBE optimized geometry" n_ef_per_ev_fu=4.75 space_group="P4/mmm, No. 123" pbc="T T T"
Hf 0.000 0.000 0.000
As 0.000 2.587 0.000
As 2.587 0.000 0.000
Br 0.000 0.000 2.578
F 2.587 2.587 2.578

#two
5
Lattice="4.329 0.000 0.000 0.000 4.329 0.000 0.000 0.000 5.158" Properties=species:S:1:pos:R:3 comment="HfAs2BrF GGA-PBE optimized geometry" n_ef_per_ev_fu=2.03 space_group="P4/mmm, No. 123" pbc="T T T"
Hf 0.000 0.000 0.000
As 0.000 2.165 2.579
As 2.165 0.000 2.579
Br 2.165 2.165 0.000
F 2.165 2.165 2.579

Which one sits at the bottom of the stability order? #two does.

#one
5
Lattice="5.394 0.000 0.000 0.000 5.394 0.000 0.000 0.000 5.447" Properties=species:S:1:pos:R:3 comment="HgAsBr2F GGA-PBE optimized geometry" n_ef_per_ev_fu=8.74 space_group="P4/mmm, No. 123" pbc="T T T"
Hg 0.000 0.000 0.000
As 0.000 0.000 2.724
Br 0.000 2.697 0.000
Br 2.697 0.000 0.000
F 2.697 2.697 2.724

#two
5
Lattice="5.796 0.000 0.000 0.000 5.796 0.000 0.000 0.000 3.883" Properties=species:S:1:pos:R:3 comment="HgAsBr2F GGA-PBE optimized geometry" n_ef_per_ev_fu=3.42 space_group="P4/mmm, No. 123" pbc="T T T"
Hg 0.000 0.000 0.000
As 2.898 2.898 0.000
Br 0.000 2.898 1.941
Br 2.898 0.000 1.941
F 2.898 2.898 1.941

Which one sits at the bottom of the stability order? #one does.

#one
5
Lattice="4.368 0.000 0.000 0.000 4.368 0.000 0.000 0.000 6.271" Properties=species:S:1:pos:R:3 comment="HgAs2BrF GGA-PBE optimized geometry" n_ef_per_ev_fu=2.77 space_group="P4/mmm, No. 123" pbc="T T T"
Hg 0.000 0.000 0.000
As 0.000 2.184 3.135
As 2.184 0.000 3.135
Br 2.184 2.184 0.000
F 2.184 2.184 3.135

#two
5
Lattice="5.259 0.000 0.000 0.000 5.259 0.000 0.000 0.000 5.420" Properties=species:S:1:pos:R:3 comment="HgAs2BrF GGA-PBE optimized geometry" n_ef_per_ev_fu=5.02 space_group="P4/mmm, No. 123" pbc="T T T"
Hg 0.000 0.000 0.000
As 0.000 2.630 0.000
As 2.630 0.000 0.000
Br 0.000 0.000 2.710
F 2.630 2.630 2.710

Which one sits at the bottom of the stability order? #two does.

#one
5
Lattice="5.333 0.000 0.000 0.000 5.333 0.000 0.000 0.000 3.811" Properties=species:S:1:pos:R:3 comment="AsIrBr2F GGA-PBE optimized geometry" n_ef_per_ev_fu=4.62 space_group="P4/mmm, No. 123" pbc="T T T"
As 0.000 0.000 0.000
Ir 2.666 2.666 0.000
Br 0.000 2.666 1.905
Br 2.666 0.000 1.905
F 0.000 0.000 1.905

#two
5
Lattice="5.150 0.000 0.000 0.000 5.150 0.000 0.000 0.000 4.655" Properties=species:S:1:pos:R:3 comment="AsIrBr2F GGA-PBE optimized geometry" n_ef_per_ev_fu=6.82 space_group="P4/mmm, No. 123" pbc="T T T"
As 0.000 0.000 0.000
Ir 0.000 0.000 2.327
Br 0.000 2.575 2.327
Br 2.575 0.000 2.327
F 2.575 2.575 0.000

Which one sits at the bottom of the stability order? #one does.